# 1
Density functional theory data (PBE) for crystalline FeAs2Rh at its relaxed geometry.

total energy	-6.235	eV per atom
D(E_F)	6.24	states/eV/cell
formation enthalpy at 0 K	0.0433	eV/atom
density	7.3	g/cm3

a = 2.9275 Å, b = 2.9275 Å, c = 28.4002 Å
α = 90.00°, β = 90.00°, γ = 120.00°
Space group R3m (No. 160, hexagonal axes)
One atom of each set of equivalent atoms:
1 Fe 0.0000 0.0000 0.0000 (multiplicity 3)
2 As 0.0000 0.0000 0.2730 (multiplicity 3)
3 As 0.0000 0.0000 0.4720 (multiplicity 3)
4 Rh 0.0000 0.0000 0.7412 (multiplicity 3)

# 2
Density functional theory data (PBE) for crystalline Fe4AsRh at its relaxed geometry.

total energy	-7.456	eV per atom
D(E_F)	24.81	states/eV/cell
formation enthalpy at 0 K	0.1855	eV/atom
density	8.5	g/cm3

a = 6.782 Å, b = 6.782 Å, c = 6.782 Å
α = 90.00°, β = 90.00°, γ = 90.00°
Space group F-43m (No. 216)
One atom of each set of equivalent atoms:
1 Fe 0.125 0.125 0.125 (multiplicity 16)
2 As 0.000 0.000 0.500 (multiplicity 4)
3 Rh 0.250 0.250 0.750 (multiplicity 4)

# 3
Density functional theory data (PBE) for crystalline Fe2AsRh2 at its relaxed geometry.

total energy	-7.122	eV per atom
D(E_F)	10.31	states/eV/cell
formation enthalpy at 0 K	0.1335	eV/atom
density	9.7	g/cm3

a = 5.903 Å, b = 5.903 Å, c = 3.846 Å
α = 90.00°, β = 90.00°, γ = 90.00°
Space group P4/mbm (No. 127)
One atom of each set of equivalent atoms:
1 Fe 0.133 0.367 0.000 (multiplicity 4)
2 As 0.000 0.000 0.000 (multiplicity 2)
3 Rh 0.155 0.655 0.500 (multiplicity 4)

# 4
Density functional theory data (PBE) for crystalline FeAs2Rh at its relaxed geometry.

total energy	-6.133	eV per atom
D(E_F)	3.47	states/eV/cell
formation enthalpy at 0 K	0.1456	eV/atom
density	8.2	g/cm3

a = 2.911 Å, b = 4.015 Å, c = 5.335 Å
α = 90.00°, β = 90.49°, γ = 90.00°
Space group P2/m (No. 10)
One atom of each set of equivalent atoms:
1 Fe 0.000 0.000 0.000 (multiplicity 1)
2 As 0.351 0.500 0.231 (multiplicity 2)
3 Rh 0.500 0.000 0.500 (multiplicity 1)

# 5
Density functional theory data (PBE) for crystalline Fe2AsRh at its relaxed geometry.

total energy	-7.171	eV per atom
D(E_F)	3.16	states/eV/cell
formation enthalpy at 0 K	0.0608	eV/atom
density	9.2	g/cm3

a = 2.876 Å, b = 2.876 Å, c = 6.303 Å
α = 90.00°, β = 90.00°, γ = 90.00°
Space group P4/mmm (No. 123)
One atom of each set of equivalent atoms:
1 Fe 0.000 0.000 0.234 (multiplicity 2)
2 As 0.500 0.500 0.000 (multiplicity 1)
3 Rh 0.500 0.500 0.500 (multiplicity 1)

# 6
Density functional theory data (PBE) for crystalline FeAsRh at its relaxed geometry.

total energy	-6.866	eV per atom
D(E_F)	5.14	states/eV/cell
formation enthalpy at 0 K	-0.0446	eV/atom
density	9.2	g/cm3

a = 2.921 Å, b = 3.818 Å, c = 7.598 Å
α = 90.00°, β = 90.00°, γ = 90.00°
Space group Imm2 (No. 44)
One atom of each set of equivalent atoms:
1 Fe 0.000 0.000 0.000 (multiplicity 2)
2 As 0.000 0.000 0.324 (multiplicity 2)
3 Rh 0.000 0.000 0.657 (multiplicity 2)